First-principles (GGA-PBE) data for crystalline ZrScAgMo at its relaxed geometry, as listed in Alexandria.

Lattice parameters (Å, degrees): 4.7624 4.7624 4.7624 60.00 60.00 60.00
Element x y z (fractional)
Sc 0.0000 0.0000 0.0000
Ag 0.7500 0.7500 0.7500
Zr 0.5000 0.5000 0.5000
Mo 0.2500 0.2500 0.2500

Crystal system: cubic
Energy of formation in eV per atom: 0.0029
Magnetization in Bohr magnetons per cell: 0.000